A plane-wave DFT calculation with GGA-PBE was carried out for a relaxed structure of Ac3Zn4Cd4.

Computed properties:
Space group = P-1, No. 2
VASP energy = -2.19 eV/atom
Calculated formation energy = -0.2719 eV per atom

a b c (Å): 4.261 4.733 14.787
angles (deg): 99.11 98.23 90.17
Atoms (fractional coordinates):
1 Ac 0.000 0.000 0.000
2 Ac 0.149 0.649 0.295
3 Ac 0.851 0.351 0.705
4 Zn 0.309 0.808 0.619
5 Zn 0.452 0.453 0.908
6 Zn 0.548 0.547 0.092
7 Zn 0.691 0.192 0.381
8 Cd 0.252 0.251 0.504
9 Cd 0.404 0.903 0.809
10 Cd 0.596 0.097 0.191
11 Cd 0.748 0.749 0.496



A plane-wave DFT calculation with GGA-PBE was carried out for a relaxed structure of AcZn2Cd9.

Computed properties:
Space group = I4_1/amd, No. 141
VASP energy = -1.38 eV/atom
Calculated formation energy = -0.1369 eV per atom

a b c (Å): 9.206 9.206 9.206
angles (deg): 100.04 100.04 130.64
Atoms (fractional coordinates):
1 Ac 0.375 0.625 0.750
2 Ac 0.625 0.375 0.250
3 Zn 0.000 0.000 0.000
4 Zn 0.000 0.000 0.500
5 Zn 0.000 0.500 0.000
6 Zn 0.500 0.000 0.500
7 Cd 0.125 0.875 0.250
8 Cd 0.128 0.557 0.328
9 Cd 0.128 0.800 0.571
10 Cd 0.200 0.272 0.328
11 Cd 0.200 0.872 0.929
12 Cd 0.272 0.200 0.828
13 Cd 0.272 0.443 0.071
14 Cd 0.443 0.272 0.571
15 Cd 0.443 0.872 0.172
16 Cd 0.557 0.128 0.828
17 Cd 0.557 0.728 0.429
18 Cd 0.728 0.557 0.929
19 Cd 0.728 0.800 0.172
20 Cd 0.800 0.128 0.071
21 Cd 0.800 0.728 0.672
22 Cd 0.872 0.200 0.429
23 Cd 0.872 0.443 0.672
24 Cd 0.875 0.125 0.750



A plane-wave DFT calculation with GGA-PBE was carried out for a relaxed structure of Ac2ZnCd5.

Computed properties:
Space group = Cmcm, No. 63
VASP energy = -2.03 eV/atom
Calculated formation energy = -0.2714 eV per atom

a b c (Å): 9.325 9.325 9.955
angles (deg): 90.00 90.00 149.26
Atoms (fractional coordinates):
1 Ac 0.000 0.000 0.000
2 Ac 0.000 0.000 0.500
3 Ac 0.201 0.799 0.750
4 Ac 0.799 0.201 0.250
5 Zn 0.443 0.557 0.250
6 Zn 0.557 0.443 0.750
7 Cd 0.187 0.813 0.105
8 Cd 0.187 0.813 0.395
9 Cd 0.355 0.645 0.028
10 Cd 0.355 0.645 0.472
11 Cd 0.408 0.592 0.750
12 Cd 0.592 0.408 0.250
13 Cd 0.645 0.355 0.528
14 Cd 0.645 0.355 0.972
15 Cd 0.813 0.187 0.605
16 Cd 0.813 0.187 0.895



A plane-wave DFT calculation with GGA-PBE was carried out for a relaxed structure of Ac2Zn15Cd2.

Computed properties:
Space group = R-3m, No. 166
VASP energy = -1.75 eV/atom
Calculated formation energy = -0.2124 eV per atom

a b c (Å): 7.084 7.084 7.084
angles (deg): 82.74 82.74 82.74
Atoms (fractional coordinates):
1 Ac 0.158 0.158 0.158
2 Ac 0.842 0.842 0.842
3 Zn 0.000 0.500 0.500
4 Zn 0.151 0.151 0.664
5 Zn 0.151 0.664 0.151
6 Zn 0.208 0.500 0.792
7 Zn 0.208 0.792 0.500
8 Zn 0.336 0.849 0.849
9 Zn 0.500 0.000 0.500
10 Zn 0.500 0.208 0.792
11 Zn 0.500 0.500 0.000
12 Zn 0.500 0.792 0.208
13 Zn 0.664 0.151 0.151
14 Zn 0.792 0.208 0.500
15 Zn 0.792 0.500 0.208
16 Zn 0.849 0.336 0.849
17 Zn 0.849 0.849 0.336
18 Cd 0.397 0.397 0.397
19 Cd 0.603 0.603 0.603



A plane-wave DFT calculation with GGA-PBE was carried out for a relaxed structure of Ac2ZnCd6.

Computed properties:
Space group = P-3m1, No. 164
VASP energy = -1.91 eV/atom
Calculated formation energy = -0.2422 eV per atom

a b c (Å): 6.625 6.625 6.278
angles (deg): 90.00 90.00 120.00
Atoms (fractional coordinates):
1 Ac 0.333 0.667 0.333
2 Ac 0.667 0.333 0.667
3 Zn 0.000 0.000 0.500
4 Cd 0.175 0.350 0.824
5 Cd 0.175 0.825 0.824
6 Cd 0.350 0.175 0.176
7 Cd 0.650 0.825 0.824
8 Cd 0.825 0.175 0.176
9 Cd 0.825 0.650 0.176



A plane-wave DFT calculation with GGA-PBE was carried out for a relaxed structure of Ac2Zn2Cd15.

Computed properties:
Space group = R-3m, No. 166
VASP energy = -1.45 eV/atom
Calculated formation energy = -0.1574 eV per atom

a b c (Å): 7.713 7.713 7.713
angles (deg): 82.72 82.72 82.72
Atoms (fractional coordinates):
1 Ac 0.170 0.170 0.170
2 Ac 0.830 0.830 0.830
3 Zn 0.407 0.407 0.407
4 Zn 0.593 0.593 0.593
5 Cd 0.000 0.500 0.500
6 Cd 0.144 0.144 0.660
7 Cd 0.144 0.660 0.144
8 Cd 0.207 0.500 0.793
9 Cd 0.207 0.793 0.500
10 Cd 0.340 0.856 0.856
11 Cd 0.500 0.000 0.500
12 Cd 0.500 0.207 0.793
13 Cd 0.500 0.500 0.000
14 Cd 0.500 0.793 0.207
15 Cd 0.660 0.144 0.144
16 Cd 0.793 0.207 0.500
17 Cd 0.793 0.500 0.207
18 Cd 0.856 0.340 0.856
19 Cd 0.856 0.856 0.340



A plane-wave DFT calculation with GGA-PBE was carried out for a relaxed structure of AcZn2Cd3.

Computed properties:
Space group = C2/m, No. 12
VASP energy = -1.80 eV/atom
Calculated formation energy = -0.2312 eV per atom

a b c (Å): 8.858 8.858 8.224
angles (deg): 114.95 114.95 29.65
Atoms (fractional coordinates):
1 Ac 0.149 0.149 0.070
2 Ac 0.851 0.851 0.930
3 Zn 0.199 0.199 0.706
4 Zn 0.482 0.482 0.838
5 Zn 0.518 0.518 0.162
6 Zn 0.801 0.801 0.294
7 Cd 0.039 0.039 0.371
8 Cd 0.317 0.317 0.558
9 Cd 0.395 0.395 0.292
10 Cd 0.605 0.605 0.708
11 Cd 0.683 0.683 0.442
12 Cd 0.961 0.961 0.629



A plane-wave DFT calculation with GGA-PBE was carried out for a relaxed structure of Ac2Zn10Cd.

Computed properties:
Space group = Pbam, No. 55
VASP energy = -1.74 eV/atom
Calculated formation energy = -0.0607 eV per atom

a b c (Å): 6.313 16.192 5.722
angles (deg): 90.00 90.00 90.00
Atoms (fractional coordinates):
1 Ac 0.204 0.138 0.000
2 Ac 0.296 0.638 0.000
3 Ac 0.704 0.362 0.000
4 Ac 0.796 0.862 0.000
5 Zn 0.042 0.839 0.500
6 Zn 0.065 0.300 0.500
7 Zn 0.124 0.564 0.500
8 Zn 0.194 0.424 0.213
9 Zn 0.194 0.424 0.787
10 Zn 0.306 0.924 0.213
11 Zn 0.306 0.924 0.787
12 Zn 0.376 0.064 0.500
13 Zn 0.435 0.800 0.500
14 Zn 0.458 0.339 0.500
15 Zn 0.542 0.661 0.500
16 Zn 0.565 0.200 0.500
17 Zn 0.624 0.936 0.500
18 Zn 0.694 0.076 0.213
19 Zn 0.694 0.076 0.787
20 Zn 0.806 0.576 0.213
21 Zn 0.806 0.576 0.787
22 Zn 0.876 0.436 0.500
23 Zn 0.935 0.700 0.500
24 Zn 0.958 0.161 0.500
25 Cd 0.000 0.000 0.500
26 Cd 0.500 0.500 0.500